# 1
Computed, not measured: crystalline LiSi2Se at its relaxed geometry at the PBE-GGA level of DFT.

The calculation puts the formation energy from raw total energies at -0.160 eV per atom. The crystal system is tetragonal.

```
LiSi2Se
1.0
-1.797 1.797 5.576
1.797 -1.797 5.576
1.797 1.797 -5.576
Li Si Se
1 2 1
Direct
0.000 0.000 0.000
0.273 0.273 0.000
0.727 0.727 0.000
0.500 0.500 0.000
```

---

# 2
Computed, not measured: crystalline SrTlIO6 at its relaxed geometry at the PBE-GGA level of DFT.

The calculation puts the formation energy from raw total energies at -1.089 eV per atom. The crystal system is trigonal.

```
SrTlIO6
1.0
5.594 0.000 0.000
-2.797 4.844 0.000
0.000 0.000 5.281
Sr Tl I O
1 1 1 6
Direct
0.000 0.000 0.000
0.333 0.667 0.500
0.667 0.333 0.500
0.393 0.049 0.710
0.393 0.344 0.290
0.656 0.049 0.290
0.656 0.607 0.710
0.951 0.344 0.710
0.951 0.607 0.290
```

---

# 3
Computed, not measured: crystalline HoTmGaCo at its relaxed geometry at the PBE-GGA level of DFT.

Its relative energy among the computed polymorphs is 55 meV per atom. The crystal system is cubic. As for the formation energy from the elements: -1.4 eV/f.u.

```
HoTmGaCo
1.0
0.000 3.442 3.442
3.442 0.000 3.442
3.442 3.442 0.000
Ho Tm Ga Co
1 1 1 1
Direct
0.000 0.000 0.000
0.500 0.500 0.500
0.250 0.250 0.250
0.750 0.750 0.750
```

---

# 4
Computed, not measured: crystalline Ba8Na2Rh at its relaxed geometry at the PBE-GGA level of DFT.

The crystal system is monoclinic. As for the formation energy from the elements: 1.0 eV/f.u.

```
Ba8Na2Rh
1.0
5.279 -6.593 0.000
5.279 6.593 0.000
-0.833 0.000 8.485
Ba Na Rh
8 2 1
Direct
0.032 0.316 0.674
0.240 0.240 0.195
0.240 0.760 0.000
0.316 0.032 0.674
0.684 0.968 0.326
0.760 0.240 0.000
0.760 0.760 0.805
0.968 0.684 0.326
0.377 0.623 0.500
0.623 0.377 0.500
0.000 0.000 0.000
```

---

For reference, magnetization by record: 0.0, 0.0, 0.9, 0.0 μB/f.u..
For reference, E by record: -16.89, -45.15, -20.58, -24.39 eV for the cell shown.